Entry from Alexandria via LeMat-Bulk: a geometry-optimized NaNClF2 structure (PBE).

The value obtained for the offset from the most stable computed form is 0.000 eV per atom. The value obtained for the total moment is 0.0 μB per formula unit.

Cell lengths 4.7201, 4.7201, 3.2994 Å; angles 90.00, 90.00, 90.00 degrees
Last column: nearest neighbours and their distance in Å.
Element x y z (fractional)
Cl: 0.0000 0.0000 0.0000  2 N 1.65
F: 0.5000 0.0000 0.0000  2 Cl 2.36
F: 0.0000 0.5000 0.0000  2 Cl 2.36
Na: 0.5000 0.5000 0.5000  8 F 2.88
N: 0.0000 0.0000 0.5000  2 Cl 1.65